[1]
## Na2In12Sn5 (PBE)

Data for a geometry-optimized Na2In12Sn5 structure.

a = 10.565 Å, b = 10.565 Å, c = 5.603 Å
α = 103.43°, β = 103.43°, γ = 61.85°
Positions (direct):
Na (0.242, 0.758, 0.000)
Na (0.758, 0.242, 0.000)
In (0.053, 0.551, 0.805)
In (0.108, 0.108, 0.048)
In (0.155, 0.645, 0.404)
In (0.355, 0.845, 0.596)
In (0.411, 0.411, 0.781)
In (0.449, 0.947, 0.195)
In (0.551, 0.053, 0.805)
In (0.589, 0.589, 0.219)
In (0.645, 0.155, 0.404)
In (0.845, 0.355, 0.596)
In (0.892, 0.892, 0.952)
In (0.947, 0.449, 0.195)
Sn (0.000, 0.000, 0.500)
Sn (0.205, 0.205, 0.619)
Sn (0.308, 0.308, 0.192)
Sn (0.692, 0.692, 0.808)
Sn (0.795, 0.795, 0.381)

Properties
energy of formation from the pure elements	0.012	eV per atom
final energy	-55.29	eV/cell
space-group type	C2/m


[2]
## NaMn2GeS4 (PBE)

Data for a geometry-optimized NaMn2GeS4 structure.

a = 8.207 Å, b = 7.014 Å, c = 6.481 Å
α = 90.00°, β = 90.00°, γ = 90.00°
Positions (direct):
Na (0.000, 0.155, 0.000)
Na (0.500, 0.845, 0.500)
Mn (0.246, 0.338, 0.507)
Mn (0.254, 0.662, 0.007)
Mn (0.746, 0.662, 0.007)
Mn (0.754, 0.338, 0.507)
Ge (0.000, 0.820, 0.508)
Ge (0.500, 0.180, 0.008)
S (0.000, 0.162, 0.430)
S (0.000, 0.779, 0.872)
S (0.227, 0.654, 0.376)
S (0.273, 0.346, 0.876)
S (0.500, 0.221, 0.372)
S (0.500, 0.838, 0.930)
S (0.727, 0.346, 0.876)
S (0.773, 0.654, 0.376)

Properties
final energy	-90.91	eV/cell
space-group type	Pmn2_1
formation energy from raw total energies	-584	meV/atom